# ThZn3CuAg

ThZn3CuAg after structural relaxation (GGA-PBE, Alexandria via LeMat-Bulk).

Output
**ΔH_f (0 K)**: 0.033 eV per atom
**Crystal system**: orthorhombic
**Total magnetization**: 0.0 μB/f.u.
**DOS(E_F)**: 0.445 states/eV per atom

```
data_ThZn3CuAg
_chemical_formula_sum 'Th4 Zn12 Cu4 Ag4'
_space_group_name_H-M_alt 'C m c m'
_space_group_IT_number 63
_space_group_name_Hall '-C 2c 2'
_cell_length_a 6.454
_cell_length_b 12.673
_cell_length_c 5.663
_cell_angle_alpha 90.00
_cell_angle_beta 90.00
_cell_angle_gamma 90.00
loop_
_atom_site_label
_atom_site_type_symbol
_atom_site_fract_x
_atom_site_fract_y
_atom_site_fract_z
Th1 Th 0.000 0.208 0.250
Zn1 Zn 0.000 0.349 0.750
Zn2 Zn 0.191 0.000 0.000
Cu1 Cu 0.000 0.145 0.750
Ag1 Ag 0.000 0.435 0.250
```


# Pr2BeZnAu6

Pr2BeZnAu6 after structural relaxation (GGA-PBE, Alexandria via LeMat-Bulk).

Output
**ΔH_f (0 K)**: -0.413 eV per atom
**Crystal system**: orthorhombic
**Total magnetization**: 0.0 μB/f.u.
**DOS(E_F)**: 0.570 states/eV per atom

```
data_Pr2BeZnAu6
_chemical_formula_sum 'Pr4 Be2 Zn2 Au12'
_space_group_name_H-M_alt 'I m m m'
_space_group_IT_number 71
_space_group_name_Hall '-I 2 2'
_cell_length_a 6.700
_cell_length_b 6.761
_cell_length_c 9.504
_cell_angle_alpha 90.00
_cell_angle_beta 90.00
_cell_angle_gamma 90.00
loop_
_atom_site_label
_atom_site_type_symbol
_atom_site_fract_x
_atom_site_fract_y
_atom_site_fract_z
Pr1 Pr 0.000 0.000 0.250
Be1 Be 0.000 0.500 0.000
Zn1 Zn 0.000 0.500 0.500
Au1 Au 0.000 0.500 0.236
Au2 Au 0.236 0.264 0.000
```


# Tb4Dy6Tm

Tb4Dy6Tm after structural relaxation (GGA-PBE, Alexandria via LeMat-Bulk).

Output
**ΔH_f (0 K)**: 0.130 eV per atom
**Crystal system**: orthorhombic
**Polymorph energy (0 for the lowest one)**: 0 meV per atom
**Total magnetization**: 0.0 μB/f.u.
**DOS(E_F)**: 1.806 states/eV per atom

```
data_Tb4Dy6Tm
_chemical_formula_sum 'Tb16 Dy24 Tm4'
_space_group_name_H-M_alt 'C m c m'
_space_group_IT_number 63
_space_group_name_Hall '-C 2c 2'
_cell_length_a 5.692
_cell_length_b 9.566
_cell_length_c 25.449
_cell_angle_alpha 90.00
_cell_angle_beta 90.00
_cell_angle_gamma 90.00
loop_
_atom_site_label
_atom_site_type_symbol
_atom_site_fract_x
_atom_site_fract_y
_atom_site_fract_z
Tb1 Tb 0.000 0.036 0.122
Tb2 Tb 0.000 0.346 0.043
Dy1 Dy 0.000 0.000 0.000
Dy2 Dy 0.000 0.029 0.250
Dy3 Dy 0.000 0.304 0.606
Dy4 Dy 0.000 0.363 0.182
Tm1 Tm 0.000 0.306 0.750
```


# LaSc2ZnAu

LaSc2ZnAu after structural relaxation (GGA-PBE, Alexandria via LeMat-Bulk).

Output
**ΔH_f (0 K)**: 0.116 eV per atom
**Crystal system**: tetragonal
**Total magnetization**: 2.0 μB/f.u.
**DOS(E_F)**: 1.659 states/eV per atom

```
data_LaSc2ZnAu
_chemical_formula_sum 'La1 Sc2 Zn1 Au1'
_space_group_name_H-M_alt 'P 4/m m m'
_space_group_IT_number 123
_space_group_name_Hall '-P 4 2'
_cell_length_a 5.236
_cell_length_b 5.236
_cell_length_c 5.718
_cell_angle_alpha 90.00
_cell_angle_beta 90.00
_cell_angle_gamma 90.00
loop_
_atom_site_label
_atom_site_type_symbol
_atom_site_fract_x
_atom_site_fract_y
_atom_site_fract_z
La1 La 0.000 0.000 0.000
Sc1 Sc 0.000 0.500 0.500
Zn1 Zn 0.500 0.500 0.000
Au1 Au 0.000 0.000 0.500
```